1.
A relaxed structure of SrHg11. Source: the Alexandria database, functional PBE.

Unit cell a=10.0214 b=10.0214 c=10.0214 alpha=90.00 beta=90.00 gamma=90.00
With the nearest neighbours (Å) after each atom.
Fractional positions:
Hg (0.7352, 0.2648, 0.5000)  9 Hg 3.18-3.33
Hg (0.8470, 0.1530, 0.1530)  6 Hg 3.07-3.11
Hg (0.6564, 0.0000, 0.3436)  8 Hg 3.11-3.18
Hg (0.1530, 0.1530, 0.1530)  6 Hg 3.07-3.11
Hg (0.3436, 0.3436, 0.0000)  8 Hg 3.11-3.18
Hg (0.2648, 0.5000, 0.2648)  9 Hg 3.18-3.33
Hg (0.7352, 0.7352, 0.5000)  9 Hg 3.18-3.33
Hg (0.2648, 0.2648, 0.5000)  9 Hg 3.18-3.33
Hg (0.6564, 0.0000, 0.6564)  8 Hg 3.11-3.18
Hg (0.5000, 0.7352, 0.7352)  9 Hg 3.18-3.33
Hg (0.0000, 0.6564, 0.6564)  8 Hg 3.11-3.18
Hg (0.0000, 0.3436, 0.3436)  8 Hg 3.11-3.18
Hg (0.2648, 0.5000, 0.7352)  9 Hg 3.18-3.33
Hg (0.8470, 0.8470, 0.8470)  6 Hg 3.07-3.11
Hg (0.5000, 0.7352, 0.2648)  9 Hg 3.18-3.33
Hg (0.1530, 0.8470, 0.1530)  6 Hg 3.07-3.11
Hg (0.0000, 0.3436, 0.6564)  8 Hg 3.11-3.18
Hg (0.1530, 0.1530, 0.8470)  6 Hg 3.07-3.11
Hg (0.6564, 0.3436, 0.0000)  8 Hg 3.11-3.18
Hg (0.3436, 0.6564, 0.0000)  8 Hg 3.11-3.18
Hg (0.5000, 0.2648, 0.7352)  9 Hg 3.18-3.33
Hg (0.0000, 0.6564, 0.3436)  8 Hg 3.11-3.18
Hg (0.7352, 0.5000, 0.7352)  9 Hg 3.18-3.33
Hg (0.2648, 0.7352, 0.5000)  9 Hg 3.18-3.33
Hg (0.8470, 0.1530, 0.8470)  6 Hg 3.07-3.11
Hg (0.1530, 0.8470, 0.8470)  6 Hg 3.07-3.11
Hg (0.6564, 0.6564, 0.0000)  8 Hg 3.11-3.18
Hg (0.8470, 0.8470, 0.1530)  6 Hg 3.07-3.11
Hg (0.3436, 0.0000, 0.3436)  8 Hg 3.11-3.18
Hg (0.7352, 0.5000, 0.2648)  9 Hg 3.18-3.33
Hg (0.5000, 0.5000, 0.5000)  12 Hg 3.33
Hg (0.3436, 0.0000, 0.6564)  8 Hg 3.11-3.18
Hg (0.5000, 0.2648, 0.2648)  9 Hg 3.18-3.33
Sr (0.0000, 0.0000, 0.5000)  20 Hg 3.75-4.10
Sr (0.0000, 0.5000, 0.0000)  20 Hg 3.75-4.10
Sr (0.5000, 0.0000, 0.0000)  20 Hg 3.75-4.10

**Distance to the lowest polymorph of the same formula**: 0.0 meV/atom
**Formation energy from the elements**: -0.113 eV per atom

---

2.
A relaxed structure of Na3Hg5Pd6. Source: the Alexandria database, functional PBE.

Unit cell a=4.6205 b=8.4590 c=8.4590 alpha=73.41 beta=74.15 gamma=74.15
With the nearest neighbours (Å) after each atom.
Fractional positions:
Pd (0.8866, 0.3822, 0.8446)  4 Hg 2.75-2.80, 3 Pd 2.77-2.89
Pd (0.5000, 0.6833, 0.3167)  4 Pd 2.77, 4 Hg 2.85-2.96, 2 Na 3.02
Pd (0.1134, 0.1554, 0.6178)  4 Hg 2.75-2.80, 3 Pd 2.77-2.89
Pd (0.8866, 0.8446, 0.3822)  4 Hg 2.75-2.80, 3 Pd 2.77-2.89
Pd (0.5000, 0.3167, 0.6833)  4 Pd 2.77, 4 Hg 2.85-2.96, 2 Na 3.02
Pd (0.1134, 0.6178, 0.1554)  4 Hg 2.75-2.80, 3 Pd 2.77-2.89
Na (0.3129, 0.6871, 0.6871)  2 Pd 3.02, 6 Hg 3.24-3.32
Na (0.0000, 0.0000, 0.0000)  4 Pd 3.08
Na (0.6871, 0.3129, 0.3129)  2 Pd 3.02, 6 Hg 3.24-3.32
Hg (0.6777, 0.9684, 0.6762)  4 Pd 2.75-2.85, 1 Hg 2.95
Hg (0.6777, 0.6762, 0.9684)  4 Pd 2.75-2.85, 1 Hg 2.95
Hg (0.3223, 0.0316, 0.3238)  4 Pd 2.75-2.85, 1 Hg 2.95
Hg (0.0000, 0.5000, 0.5000)  8 Pd 2.75-2.96
Hg (0.3223, 0.3238, 0.0316)  4 Pd 2.75-2.85, 1 Hg 2.95

**Formation energy from the elements**: -0.200 eV per atom

---

3.
A relaxed structure of CaMgCuIr. Source: the Alexandria database, functional PBE.

Unit cell a=4.6758 b=4.6758 c=4.6758 alpha=60.00 beta=60.00 gamma=60.00
With the nearest neighbours (Å) after each atom.
Fractional positions:
Mg (0.5000, 0.5000, 0.5000)  4 Cu 2.86, 4 Ir 2.86
Ca (0.0000, 0.0000, 0.0000)  4 Cu 2.86, 4 Ir 2.86
Ir (0.2500, 0.2500, 0.2500)  4 Ca 2.86, 4 Mg 2.86
Cu (0.7500, 0.7500, 0.7500)  4 Mg 2.86, 4 Ca 2.86

**Formation energy from the elements**: -0.134 eV per atom

---

4.
A relaxed structure of CaNp2Sn9. Source: the Alexandria database, functional PBE.

Unit cell a=4.6856 b=4.6856 c=14.0554 alpha=90.00 beta=90.00 gamma=90.00
With the nearest neighbours (Å) after each atom.
Fractional positions:
Np (0.0000, 0.0000, 0.3380)  12 Sn 3.27-3.33
Np (0.0000, 0.0000, 0.6620)  12 Sn 3.27-3.33
Sn (0.0000, 0.5000, 0.1700)  8 Sn 3.29-3.35, 2 Np 3.33, 2 Ca 3.35
Sn (0.5000, 0.5000, 0.6658)  8 Sn 3.29-3.30, 4 Np 3.31
Sn (0.5000, 0.0000, 0.1700)  8 Sn 3.29-3.35, 2 Np 3.33, 2 Ca 3.35
Sn (0.5000, 0.0000, 0.5000)  4 Np 3.27, 8 Sn 3.30-3.31
Sn (0.5000, 0.5000, 0.3342)  8 Sn 3.29-3.30, 4 Np 3.31
Sn (0.5000, 0.5000, 0.0000)  4 Ca 3.31, 8 Sn 3.35
Sn (0.5000, 0.0000, 0.8300)  8 Sn 3.29-3.35, 2 Np 3.33, 2 Ca 3.35
Sn (0.0000, 0.5000, 0.8300)  8 Sn 3.29-3.35, 2 Np 3.33, 2 Ca 3.35
Sn (0.0000, 0.5000, 0.5000)  4 Np 3.27, 8 Sn 3.30-3.31
Ca (0.0000, 0.0000, 0.0000)  12 Sn 3.31-3.35

**Formation energy from the elements**: -0.218 eV per atom

---

5.
A relaxed structure of Cs3HgF3. Source: the Alexandria database, functional PBE.

Unit cell a=8.1547 b=8.1547 c=8.1547 alpha=90.00 beta=90.00 gamma=90.00
With the nearest neighbours (Å) after each atom.
Fractional positions:
Cs (0.5000, 0.0000, 0.2500)  4 F 2.88
Cs (0.2500, 0.5000, 0.0000)  4 F 2.88
Cs (0.7500, 0.5000, 0.0000)  4 F 2.88
Cs (0.0000, 0.2500, 0.5000)  4 F 2.88
Cs (0.0000, 0.7500, 0.5000)  4 F 2.88
Cs (0.5000, 0.0000, 0.7500)  4 F 2.88
F (0.7500, 0.0000, 0.5000)  4 Cs 2.88
F (0.5000, 0.2500, 0.0000)  4 Cs 2.88
F (0.5000, 0.7500, 0.0000)  4 Cs 2.88
F (0.0000, 0.5000, 0.7500)  4 Cs 2.88
F (0.2500, 0.0000, 0.5000)  4 Cs 2.88
F (0.0000, 0.5000, 0.2500)  4 Cs 2.88
Hg (0.0000, 0.0000, 0.0000)  12 F 4.56, 12 Cs 4.56
Hg (0.5000, 0.5000, 0.5000)  12 F 4.56, 12 Cs 4.56

**Formation energy (no corrections)**: -2.204 eV per atom

---

6.
A relaxed structure of SbAs2SeBr. Source: the Alexandria database, functional PBE.

Unit cell a=5.4265 b=5.4265 c=5.2919 alpha=90.00 beta=90.00 gamma=90.00
With the nearest neighbours (Å) after each atom.
Fractional positions:
Br (0.0000, 0.0000, 0.5000)  2 Sb 2.65
Se (0.5000, 0.5000, 0.5000)  8 As 3.79, 4 Br 3.84
As (0.5000, 0.0000, 0.0000)  2 Sb 2.71
As (0.0000, 0.5000, 0.0000)  2 Sb 2.71
Sb (0.0000, 0.0000, 0.0000)  2 Br 2.65, 4 As 2.71

**Formation energy (no corrections)**: 0.840 eV per atom
**Distance to the lowest polymorph of the same formula**: 164.2 meV/atom

---

Number 1: magnetization 0.0 μB per cell. Number 2: magnetization 0.0 μB per cell. Number 3: magnetization 0.0 μB per cell. Number 4: magnetization 8.3 μB per cell. Number 5: magnetization 0.0 μB per cell. Number 6: magnetization 0.8 μB per cell.